No. 1
Computed, not measured: InCl3 after structural relaxation at the PBE level of DFT.

The uncorrected energy comes out at -2.34 eV/atom.

It has space group P4/mmm (No. 123), with a = 3.435 Å, b = 3.435 Å, c = 8.508 Å, α = 90.00°, β = 90.00° and γ = 90.00°. The inequivalent atoms are In at (0.000, 0.000, 0.000), Cl at (0.000, 0.000, 0.500) and Cl at (0.500, 0.500, 0.183).

No. 2
Computed, not measured: In3Cl after structural relaxation at the PBE level of DFT.

The uncorrected energy comes out at -2.78 eV/atom.

It has space group P2/m (No. 10), with a = 3.420 Å, b = 5.403 Å, c = 6.139 Å, α = 90.00°, β = 105.96° and γ = 90.00°. The inequivalent atoms are In at (0.000, 0.000, 0.000), In at (0.386, 0.500, 0.734) and Cl at (0.000, 0.000, 0.500).

No. 3
Computed, not measured: In3Cl4 after structural relaxation at the PBE level of DFT.

The uncorrected energy comes out at -3.04 eV/atom.

It has space group R-3m (No. 166, hexagonal axes), with a = 8.8653 Å, b = 8.8653 Å, c = 21.9095 Å, α = 90.00°, β = 90.00° and γ = 120.00°. The inequivalent atoms are In at (0.0000, 0.0000, 0.0000), In at (0.0000, 0.0000, 0.3744), In at (0.0000, 0.5000, 0.5000), Cl at (0.0000, 0.0000, 0.2537) and Cl at (0.0104, 0.5052, 0.2508).

No. 4
Computed, not measured: In3Cl after structural relaxation at the PBE level of DFT.

The uncorrected energy comes out at -2.75 eV/atom.

It has space group P4/mmm (No. 123), with a = 3.411 Å, b = 3.411 Å, c = 9.257 Å, α = 90.00°, β = 90.00° and γ = 90.00°. The inequivalent atoms are In at (0.000, 0.000, 0.000), In at (0.500, 0.500, 0.267) and Cl at (0.000, 0.000, 0.500).

No. 5
Computed, not measured: InCl2 after structural relaxation at the PBE level of DFT.

The uncorrected energy comes out at -3.16 eV/atom.

It has space group Pnna (No. 52), with a = 7.707 Å, b = 10.346 Å, c = 10.184 Å, α = 90.00°, β = 90.00° and γ = 90.00°. The inequivalent atoms are In at (0.188, 0.250, 0.250), In at (0.250, 0.000, 0.681), Cl at (0.002, 0.541, 0.313) and Cl at (0.162, 0.682, 0.949).

No. 6
Computed, not measured: InCl after structural relaxation at the PBE level of DFT.

The uncorrected energy comes out at -3.01 eV/atom.

It has space group I4_1/amd (No. 141, origin choice 2), with a = 4.388 Å, b = 4.388 Å, c = 12.484 Å, α = 90.00°, β = 90.00° and γ = 90.00°. The inequivalent atoms are In at (0.000, 0.250, 0.375) and Cl at (0.000, 0.250, 0.875).

| no. | total magnetization (μB per cell) |
| --- | --- |
| 1 | 0.699 |
| 2 | 0.000 |
| 3 | 0.000 |
| 4 | 0.000 |
| 5 | 0.000 |
| 6 | 0.000 |